# 1
Computed, not measured: a geometry-optimized RbAg2OsCl8 structure at the PBE level of DFT.

Cell and atoms, written as CIF:
```
data_RbAg2OsCl8
_chemical_formula_sum 'Rb1 Ag2 Os1 Cl8'
_symmetry_space_group_name_H-M 'P 1'
_symmetry_Int_Tables_number 1
_cell_length_a 6.2385
_cell_length_b 7.1283
_cell_length_c 8.9072
_cell_angle_alpha 71.18
_cell_angle_beta 83.54
_cell_angle_gamma 86.21
loop_
_symmetry_equiv_pos_as_xyz
'x,y,z'
loop_
_atom_site_label
_atom_site_fract_x
_atom_site_fract_y
_atom_site_fract_z
Rb1 0.0000 0.0000 0.0000
Ag1 0.4970 0.4783 0.1923
Ag2 0.5030 0.5217 0.8077
Os1 0.0000 0.5000 0.5000
Cl1 0.0780 0.5040 0.7512
Cl2 0.1680 0.7980 0.3804
Cl3 0.3244 0.3244 0.4742
Cl4 0.4922 0.2158 0.0490
Cl5 0.5078 0.7842 0.9510
Cl6 0.6756 0.6756 0.5258
Cl7 0.8320 0.2020 0.6196
Cl8 0.9220 0.4960 0.2488
```

Properties
Magnetization   2.84 μB/f.u.
N(E_F)   0.33 states/eV/atom
Energy   -3.41 eV/atom



# 2
Computed, not measured: a geometry-optimized TaBeRe2Ag structure at the PBE level of DFT.

Cell and atoms, written as CIF:
```
data_TaBeRe2Ag
_chemical_formula_sum 'Ta1 Be1 Re2 Ag1'
_symmetry_space_group_name_H-M 'P 1'
_symmetry_Int_Tables_number 1
_cell_length_a 4.8527
_cell_length_b 4.8527
_cell_length_c 3.7744
_cell_angle_alpha 90.00
_cell_angle_beta 90.00
_cell_angle_gamma 90.00
loop_
_symmetry_equiv_pos_as_xyz
'x,y,z'
loop_
_atom_site_label
_atom_site_fract_x
_atom_site_fract_y
_atom_site_fract_z
Ta1 0.0000 0.0000 0.0000
Be1 0.5000 0.5000 0.0000
Re1 0.0000 0.5000 0.5000
Re2 0.5000 0.0000 0.5000
Ag1 0.5000 0.5000 0.5000
```

Properties
Magnetization   0.00 μB/f.u.
N(E_F)   0.85 states/eV/atom
ΔE_f   1905 meV/atom
Energy   -6.76 eV/atom



# 3
Computed, not measured: a geometry-optimized MnSi2Mo structure at the PBE level of DFT.

Cell and atoms, written as CIF:
```
data_MnSi2Mo
_chemical_formula_sum 'Mn1 Si2 Mo1'
_symmetry_space_group_name_H-M 'P 1'
_symmetry_Int_Tables_number 1
_cell_length_a 2.6306
_cell_length_b 2.6306
_cell_length_c 7.9392
_cell_angle_alpha 90.00
_cell_angle_beta 90.00
_cell_angle_gamma 90.00
loop_
_symmetry_equiv_pos_as_xyz
'x,y,z'
loop_
_atom_site_label
_atom_site_fract_x
_atom_site_fract_y
_atom_site_fract_z
Mn1 0.0000 0.0000 0.0000
Si1 0.0000 0.0000 0.5097
Si2 0.5000 0.5000 0.7918
Mo1 0.5000 0.5000 0.2574
```

Properties
Magnetization   1.87 μB/f.u.
N(E_F)   0.50 states/eV/atom
Energy   -7.60 eV/atom



# 4
Computed, not measured: a geometry-optimized Sm2YHg3 structure at the PBE level of DFT.

Cell and atoms, written as CIF:
```
data_Sm2YHg3
_chemical_formula_sum 'Sm2 Y1 Hg3'
_symmetry_space_group_name_H-M 'P 1'
_symmetry_Int_Tables_number 1
_cell_length_a 5.3355
_cell_length_b 5.3355
_cell_length_c 6.5457
_cell_angle_alpha 90.00
_cell_angle_beta 90.00
_cell_angle_gamma 120.00
loop_
_symmetry_equiv_pos_as_xyz
'x,y,z'
loop_
_atom_site_label
_atom_site_fract_x
_atom_site_fract_y
_atom_site_fract_z
Sm1 0.3333 0.6667 0.1699
Sm2 0.6667 0.3333 0.8301
Y1 0.0000 0.0000 0.5000
Hg1 0.0000 0.0000 0.0000
Hg2 0.3333 0.6667 0.6649
Hg3 0.6667 0.3333 0.3351
```

Properties
Magnetization   0.96 μB/f.u.
N(E_F)   1.23 states/eV/atom
ΔE_f   -481 meV/atom
Energy   -3.28 eV/atom



# 5
Computed, not measured: a geometry-optimized MoIrCl2 structure at the PBE level of DFT.

Cell and atoms, written as CIF:
```
data_MoIrCl2
_chemical_formula_sum 'Mo2 Ir2 Cl4'
_symmetry_space_group_name_H-M 'P 1'
_symmetry_Int_Tables_number 1
_cell_length_a 2.8954
_cell_length_b 4.6084
_cell_length_c 11.7289
_cell_angle_alpha 90.00
_cell_angle_beta 90.00
_cell_angle_gamma 90.00
loop_
_symmetry_equiv_pos_as_xyz
'x,y,z'
loop_
_atom_site_label
_atom_site_fract_x
_atom_site_fract_y
_atom_site_fract_z
Mo1 0.0000 0.0000 0.0000
Mo2 0.5000 0.5000 0.5000
Ir1 0.0000 0.5000 0.3287
Ir2 0.5000 0.0000 0.8287
Cl1 0.0000 0.0000 0.5131
Cl2 0.0000 0.5000 0.6873
Cl3 0.5000 0.0000 0.1873
Cl4 0.5000 0.5000 0.0131
```

Properties
Magnetization   0.00 μB/f.u.
N(E_F)   0.94 states/eV/atom
Energy above the most stable polymorph in this dataset   774 meV/atom
Energy   -5.30 eV/atom



# 6
Computed, not measured: a geometry-optimized VCuGe2 structure at the PBE level of DFT.

Cell and atoms, written as CIF:
```
data_VCuGe2
_chemical_formula_sum 'V4 Cu4 Ge8'
_symmetry_space_group_name_H-M 'P 1'
_symmetry_Int_Tables_number 1
_cell_length_a 6.6969
_cell_length_b 6.6969
_cell_length_c 5.5995
_cell_angle_alpha 90.00
_cell_angle_beta 90.00
_cell_angle_gamma 90.00
loop_
_symmetry_equiv_pos_as_xyz
'x,y,z'
loop_
_atom_site_label
_atom_site_fract_x
_atom_site_fract_y
_atom_site_fract_z
V1 0.0000 0.0000 0.0000
V2 0.0000 0.5000 0.2500
V3 0.5000 0.0000 0.7500
V4 0.5000 0.5000 0.5000
Cu1 0.0000 0.0000 0.5000
Cu2 0.0000 0.5000 0.7500
Cu3 0.5000 0.0000 0.2500
Cu4 0.5000 0.5000 0.0000
Ge1 0.2289 0.2500 0.6250
Ge2 0.2500 0.7289 0.8750
Ge3 0.2500 0.7711 0.3750
Ge4 0.2711 0.2500 0.1250
Ge5 0.7289 0.7500 0.1250
Ge6 0.7500 0.2289 0.3750
Ge7 0.7500 0.2711 0.8750
Ge8 0.7711 0.7500 0.6250
```

Properties
Magnetization   0.01 μB/f.u.
N(E_F)   0.66 states/eV/atom
ΔE_f   330 meV/atom
Energy   -5.28 eV/atom



# 7
Computed, not measured: a geometry-optimized Hg2SClF structure at the PBE level of DFT.

Cell and atoms, written as CIF:
```
data_Hg2SClF
_chemical_formula_sum 'Hg4 S2 Cl2 F2'
_symmetry_space_group_name_H-M 'P 1'
_symmetry_Int_Tables_number 1
_cell_length_a 6.8099
_cell_length_b 6.8099
_cell_length_c 9.7009
_cell_angle_alpha 106.69
_cell_angle_beta 106.69
_cell_angle_gamma 36.90
loop_
_symmetry_equiv_pos_as_xyz
'x,y,z'
loop_
_atom_site_label
_atom_site_fract_x
_atom_site_fract_y
_atom_site_fract_z
Hg1 0.0752 0.0752 0.3522
Hg2 0.3641 0.3641 0.1171
Hg3 0.6359 0.6359 0.8829
Hg4 0.9248 0.9248 0.6478
S1 0.4448 0.4448 0.7888
S2 0.5552 0.5552 0.2112
Cl1 0.1539 0.1539 0.6248
Cl2 0.8461 0.8461 0.3752
F1 0.1929 0.1929 0.0417
F2 0.8071 0.8071 0.9583
```

Properties
Magnetization   0.00 μB/f.u.
Energy   -2.38 eV/atom



# 8
Computed, not measured: a geometry-optimized Ta2AuSe structure at the PBE level of DFT.

Cell and atoms, written as CIF:
```
data_Ta2AuSe
_chemical_formula_sum 'Ta8 Au4 Se4'
_symmetry_space_group_name_H-M 'P 1'
_symmetry_Int_Tables_number 1
_cell_length_a 6.6826
_cell_length_b 6.6826
_cell_length_c 6.6826
_cell_angle_alpha 90.00
_cell_angle_beta 90.00
_cell_angle_gamma 90.00
loop_
_symmetry_equiv_pos_as_xyz
'x,y,z'
loop_
_atom_site_label
_atom_site_fract_x
_atom_site_fract_y
_atom_site_fract_z
Ta1 0.0000 0.0000 0.0000
Ta2 0.0000 0.5000 0.5000
Ta3 0.2500 0.2500 0.2500
Ta4 0.2500 0.7500 0.7500
Ta5 0.5000 0.0000 0.5000
Ta6 0.5000 0.5000 0.0000
Ta7 0.7500 0.2500 0.7500
Ta8 0.7500 0.7500 0.2500
Au1 0.0000 0.0000 0.5000
Au2 0.0000 0.5000 0.0000
Au3 0.5000 0.0000 0.0000
Au4 0.5000 0.5000 0.5000
Se1 0.2500 0.2500 0.7500
Se2 0.2500 0.7500 0.2500
Se3 0.7500 0.2500 0.2500
Se4 0.7500 0.7500 0.7500
```

Properties
Magnetization   0.00 μB/f.u.
N(E_F)   1.33 states/eV/atom
Energy   -7.02 eV/atom



# 9
Computed, not measured: a geometry-optimized Cs4LiP2 structure at the PBE level of DFT.

Cell and atoms, written as CIF:
```
data_Cs4LiP2
_chemical_formula_sum 'Cs4 Li1 P2'
_symmetry_space_group_name_H-M 'P 1'
_symmetry_Int_Tables_number 1
_cell_length_a 10.3537
_cell_length_b 10.3537
_cell_length_c 10.3537
_cell_angle_alpha 34.35
_cell_angle_beta 34.35
_cell_angle_gamma 34.35
loop_
_symmetry_equiv_pos_as_xyz
'x,y,z'
loop_
_atom_site_label
_atom_site_fract_x
_atom_site_fract_y
_atom_site_fract_z
Cs1 0.1165 0.1165 0.1165
Cs2 0.2928 0.2928 0.2928
Cs3 0.7072 0.7072 0.7072
Cs4 0.8835 0.8835 0.8835
Li1 0.5000 0.5000 0.5000
P1 0.4183 0.4183 0.4183
P2 0.5817 0.5817 0.5817
```

Properties
Magnetization   1.07 μB/f.u.
N(E_F)   1.11 states/eV/atom
ΔE_f   -211 meV/atom
Energy   -2.52 eV/atom



# 10
Computed, not measured: a geometry-optimized MnCuS2 structure at the PBE level of DFT.

Cell and atoms, written as CIF:
```
data_MnCuS2
_chemical_formula_sum 'Mn3 Cu3 S6'
_symmetry_space_group_name_H-M 'P 1'
_symmetry_Int_Tables_number 1
_cell_length_a 3.3368
_cell_length_b 3.3368
_cell_length_c 20.7282
_cell_angle_alpha 90.00
_cell_angle_beta 90.00
_cell_angle_gamma 120.00
loop_
_symmetry_equiv_pos_as_xyz
'x,y,z'
loop_
_atom_site_label
_atom_site_fract_x
_atom_site_fract_y
_atom_site_fract_z
Mn1 0.0000 0.0000 0.0000
Mn2 0.3333 0.6667 0.6667
Mn3 0.6667 0.3333 0.3333
Cu1 0.0000 0.0000 0.5000
Cu2 0.3333 0.6667 0.1667
Cu3 0.6667 0.3333 0.8333
S1 0.0000 0.0000 0.3956
S2 0.0000 0.0000 0.6044
S3 0.3333 0.6667 0.0623
S4 0.3333 0.6667 0.2710
S5 0.6667 0.3333 0.7290
S6 0.6667 0.3333 0.9377
```

Properties
Magnetization   2.08 μB/f.u.
N(E_F)   0.41 states/eV/atom
Energy   -5.75 eV/atom



# 11
Computed, not measured: a geometry-optimized MgAlPb3 structure at the PBE level of DFT.

Cell and atoms, written as CIF:
```
data_MgAlPb3
_chemical_formula_sum 'Mg1 Al1 Pb3'
_symmetry_space_group_name_H-M 'P 1'
_symmetry_Int_Tables_number 1
_cell_length_a 5.5008
_cell_length_b 5.5008
_cell_length_c 5.5008
_cell_angle_alpha 90.00
_cell_angle_beta 90.00
_cell_angle_gamma 90.00
loop_
_symmetry_equiv_pos_as_xyz
'x,y,z'
loop_
_atom_site_label
_atom_site_fract_x
_atom_site_fract_y
_atom_site_fract_z
Mg1 0.0000 0.0000 0.0000
Al1 0.5000 0.5000 0.5000
Pb1 0.0000 0.0000 0.5000
Pb2 0.0000 0.5000 0.0000
Pb3 0.5000 0.0000 0.0000
```

Properties
Magnetization   0.00 μB/f.u.
N(E_F)   0.76 states/eV/atom
ΔE_f   563 meV/atom
Energy above the most stable polymorph in this dataset   153 meV/atom
Energy   -2.73 eV/atom